1 | # Y4BiIr GGA-PBE optimized geometry
# **SG**: C2/c (15)
# **Crystal system**: monoclinic
# **V**: 172.1 Å³/f.u.
data_Y4BiIr
_chemical_formula_sum 'Y8 Bi2 Ir2'
_symmetry_space_group_name_H-M 'P 1'
_symmetry_Int_Tables_number 1
_cell_length_a 8.1608
_cell_length_b 8.1608
_cell_length_c 6.1380
_cell_angle_alpha 103.28
_cell_angle_beta 103.28
_cell_angle_gamma 112.37
loop_
_symmetry_equiv_pos_as_xyz
'x,y,z'
loop_
_atom_site_label
_atom_site_type_symbol
_atom_site_fract_x
_atom_site_fract_y
_atom_site_fract_z
_atom_site_occupancy
Y1 Y 0.0597 0.7180 0.9275 1
Y2 Y 0.2052 0.3485 0.6596 1
Y3 Y 0.2820 0.9403 0.5725 1
Y4 Y 0.3485 0.2052 0.1596 1
Y5 Y 0.6515 0.7948 0.8404 1
Y6 Y 0.7180 0.0597 0.4275 1
Y7 Y 0.7948 0.6515 0.3404 1
Y8 Y 0.9403 0.2820 0.0725 1
Bi1 Bi 0.3733 0.6267 0.2500 1
Bi2 Bi 0.6267 0.3733 0.7500 1
Ir1 Ir 0.0000 0.0000 0.2500 1
Ir2 Ir 0.0000 0.0000 0.7500 1


2 | # Y4BiIr GGA-PBE optimized geometry
# **SG**: P2_1/m (11)
# **Crystal system**: monoclinic
# **V**: 169.4 Å³/f.u.
data_Y4BiIr
_chemical_formula_sum 'Y8 Bi2 Ir2'
_symmetry_space_group_name_H-M 'P 1'
_symmetry_Int_Tables_number 1
_cell_length_a 6.2042
_cell_length_b 6.5906
_cell_length_c 8.8348
_cell_angle_alpha 90.00
_cell_angle_beta 110.28
_cell_angle_gamma 90.00
loop_
_symmetry_equiv_pos_as_xyz
'x,y,z'
loop_
_atom_site_label
_atom_site_type_symbol
_atom_site_fract_x
_atom_site_fract_y
_atom_site_fract_z
_atom_site_occupancy
Y1 Y 0.0075 0.9998 0.2021 1
Y2 Y 0.0075 0.5002 0.2021 1
Y3 Y 0.4021 0.2500 0.6207 1
Y4 Y 0.4339 0.2500 0.0955 1
Y5 Y 0.5661 0.7500 0.9045 1
Y6 Y 0.5979 0.7500 0.3793 1
Y7 Y 0.9925 0.0002 0.7979 1
Y8 Y 0.9925 0.4998 0.7979 1
Bi1 Bi 0.2024 0.7500 0.5457 1
Bi2 Bi 0.7976 0.2500 0.4543 1
Ir1 Ir 0.2667 0.7500 0.0697 1
Ir2 Ir 0.7333 0.2500 0.9303 1


Short version: 2 is the most stable of them.


1 | # Y5Bi2Ir GGA-PBE optimized geometry
# **SG**: Pnma (62)
# **Crystal system**: orthorhombic
# **V**: 227.2 Å³/f.u.
data_Y5Bi2Ir
_chemical_formula_sum 'Y20 Bi8 Ir4'
_symmetry_space_group_name_H-M 'P 1'
_symmetry_Int_Tables_number 1
_cell_length_a 12.5231
_cell_length_b 9.0019
_cell_length_c 8.0598
_cell_angle_alpha 90.00
_cell_angle_beta 90.00
_cell_angle_gamma 90.00
loop_
_symmetry_equiv_pos_as_xyz
'x,y,z'
loop_
_atom_site_label
_atom_site_type_symbol
_atom_site_fract_x
_atom_site_fract_y
_atom_site_fract_z
_atom_site_occupancy
Y1 Y 0.0013 0.2500 0.0544 1
Y2 Y 0.0666 0.5435 0.3248 1
Y3 Y 0.0666 0.9565 0.3248 1
Y4 Y 0.1936 0.2500 0.6242 1
Y5 Y 0.2073 0.7500 0.6612 1
Y6 Y 0.2927 0.2500 0.1612 1
Y7 Y 0.3064 0.7500 0.1242 1
Y8 Y 0.4334 0.0435 0.8248 1
Y9 Y 0.4334 0.4565 0.8248 1
Y10 Y 0.4987 0.7500 0.5544 1
Y11 Y 0.5013 0.2500 0.4456 1
Y12 Y 0.5666 0.5435 0.1752 1
Y13 Y 0.5666 0.9565 0.1752 1
Y14 Y 0.6936 0.2500 0.8758 1
Y15 Y 0.7073 0.7500 0.8388 1
Y16 Y 0.7927 0.2500 0.3388 1
Y17 Y 0.8064 0.7500 0.3758 1
Y18 Y 0.9334 0.0435 0.6752 1
Y19 Y 0.9334 0.4565 0.6752 1
Y20 Y 0.9987 0.7500 0.9456 1
Bi1 Bi 0.1725 0.0095 0.9332 1
Bi2 Bi 0.1725 0.4905 0.9332 1
Bi3 Bi 0.3275 0.5095 0.4332 1
Bi4 Bi 0.3275 0.9905 0.4332 1
Bi5 Bi 0.6725 0.0095 0.5668 1
Bi6 Bi 0.6725 0.4905 0.5668 1
Bi7 Bi 0.8275 0.5095 0.0668 1
Bi8 Bi 0.8275 0.9905 0.0668 1
Ir1 Ir 0.0099 0.2500 0.4262 1
Ir2 Ir 0.4901 0.7500 0.9262 1
Ir3 Ir 0.5099 0.2500 0.0738 1
Ir4 Ir 0.9901 0.7500 0.5738 1


2 | # Y5Bi2Ir GGA-PBE optimized geometry
# **SG**: Fmm2 (42)
# **Crystal system**: orthorhombic
# **V**: 232.9 Å³/f.u.
data_Y5Bi2Ir
_chemical_formula_sum 'Y5 Bi2 Ir1'
_symmetry_space_group_name_H-M 'P 1'
_symmetry_Int_Tables_number 1
_cell_length_a 6.7507
_cell_length_b 6.7404
_cell_length_c 7.3851
_cell_angle_alpha 56.88
_cell_angle_beta 56.74
_cell_angle_gamma 66.38
loop_
_symmetry_equiv_pos_as_xyz
'x,y,z'
loop_
_atom_site_label
_atom_site_type_symbol
_atom_site_fract_x
_atom_site_fract_y
_atom_site_fract_z
_atom_site_occupancy
Y1 Y 0.0000 0.0000 0.0000 1
Y2 Y 0.0216 0.5121 0.4879 1
Y3 Y 0.0222 0.5116 0.9778 1
Y4 Y 0.5116 0.0222 0.4884 1
Y5 Y 0.5121 0.0216 0.9784 1
Bi1 Bi 0.0163 0.0163 0.4837 1
Bi2 Bi 0.5163 0.5163 0.9837 1
Ir1 Ir 0.6710 0.6710 0.3290 1


Short version: 1 is the most stable of them.


1 | # Zn2BiIr2 GGA-PBE optimized geometry
# **SG**: P4/mbm (127)
# **Crystal system**: tetragonal
# **V**: 84.9 Å³/f.u.
data_Zn2BiIr2
_chemical_formula_sum 'Zn4 Bi2 Ir4'
_symmetry_space_group_name_H-M 'P 1'
_symmetry_Int_Tables_number 1
_cell_length_a 7.5445
_cell_length_b 7.5445
_cell_length_c 2.9838
_cell_angle_alpha 90.00
_cell_angle_beta 90.00
_cell_angle_gamma 90.00
loop_
_symmetry_equiv_pos_as_xyz
'x,y,z'
loop_
_atom_site_label
_atom_site_type_symbol
_atom_site_fract_x
_atom_site_fract_y
_atom_site_fract_z
_atom_site_occupancy
Zn1 Zn 0.1212 0.3788 0.0000 1
Zn2 Zn 0.3788 0.8788 0.0000 1
Zn3 Zn 0.6212 0.1212 0.0000 1
Zn4 Zn 0.8788 0.6212 0.0000 1
Bi1 Bi 0.0000 0.0000 0.0000 1
Bi2 Bi 0.5000 0.5000 0.0000 1
Ir1 Ir 0.1721 0.6721 0.5000 1
Ir2 Ir 0.3279 0.1721 0.5000 1
Ir3 Ir 0.6721 0.8279 0.5000 1
Ir4 Ir 0.8279 0.3279 0.5000 1


2 | # Zn2BiIr2 GGA-PBE optimized geometry
# **SG**: P4/mbm (127)
# **Crystal system**: tetragonal
# **V**: 85.2 Å³/f.u.
data_Zn2BiIr2
_chemical_formula_sum 'Zn4 Bi2 Ir4'
_symmetry_space_group_name_H-M 'P 1'
_symmetry_Int_Tables_number 1
_cell_length_a 7.5132
_cell_length_b 7.5132
_cell_length_c 3.0200
_cell_angle_alpha 90.00
_cell_angle_beta 90.00
_cell_angle_gamma 90.00
loop_
_symmetry_equiv_pos_as_xyz
'x,y,z'
loop_
_atom_site_label
_atom_site_type_symbol
_atom_site_fract_x
_atom_site_fract_y
_atom_site_fract_z
_atom_site_occupancy
Zn1 Zn 0.1573 0.3427 0.0000 1
Zn2 Zn 0.3427 0.8427 0.0000 1
Zn3 Zn 0.6573 0.1573 0.0000 1
Zn4 Zn 0.8427 0.6573 0.0000 1
Bi1 Bi 0.0000 0.0000 0.5000 1
Bi2 Bi 0.5000 0.5000 0.5000 1
Ir1 Ir 0.1363 0.6363 0.5000 1
Ir2 Ir 0.3637 0.1363 0.5000 1
Ir3 Ir 0.6363 0.8637 0.5000 1
Ir4 Ir 0.8637 0.3637 0.5000 1


3 | # Zn2BiIr2 GGA-PBE optimized geometry
# **SG**: I4/mmm (139)
# **Crystal system**: tetragonal
# **V**: 90.2 Å³/f.u.
data_Zn2BiIr2
_chemical_formula_sum 'Zn2 Bi1 Ir2'
_symmetry_space_group_name_H-M 'P 1'
_symmetry_Int_Tables_number 1
_cell_length_a 6.7260
_cell_length_b 6.7260
_cell_length_c 6.7260
_cell_angle_alpha 146.93
_cell_angle_beta 146.93
_cell_angle_gamma 47.47
loop_
_symmetry_equiv_pos_as_xyz
'x,y,z'
loop_
_atom_site_label
_atom_site_type_symbol
_atom_site_fract_x
_atom_site_fract_y
_atom_site_fract_z
_atom_site_occupancy
Zn1 Zn 0.2500 0.7500 0.5000 1
Zn2 Zn 0.7500 0.2500 0.5000 1
Bi1 Bi 0.0000 0.0000 0.0000 1
Ir1 Ir 0.3916 0.3916 0.0000 1
Ir2 Ir 0.6084 0.6084 0.0000 1


Short version: 2 is the most stable of them.


1 | # ZnBiIr2 GGA-PBE optimized geometry
# **SG**: Fm-3m (225)
# **Crystal system**: cubic
# **V**: 68.8 Å³/f.u.
data_ZnBiIr2
_chemical_formula_sum 'Zn1 Bi1 Ir2'
_symmetry_space_group_name_H-M 'P 1'
_symmetry_Int_Tables_number 1
_cell_length_a 4.5995
_cell_length_b 4.5995
_cell_length_c 4.5995
_cell_angle_alpha 60.00
_cell_angle_beta 60.00
_cell_angle_gamma 60.00
loop_
_symmetry_equiv_pos_as_xyz
'x,y,z'
loop_
_atom_site_label
_atom_site_type_symbol
_atom_site_fract_x
_atom_site_fract_y
_atom_site_fract_z
_atom_site_occupancy
Zn1 Zn 0.0000 0.0000 0.0000 1
Bi1 Bi 0.5000 0.5000 0.5000 1
Ir1 Ir 0.2500 0.2500 0.2500 1
Ir2 Ir 0.7500 0.7500 0.7500 1


2 | # ZnBiIr2 GGA-PBE optimized geometry
# **SG**: I-42d (122)
# **Crystal system**: tetragonal
# **V**: 77.1 Å³/f.u.
data_ZnBiIr2
_chemical_formula_sum 'Zn2 Bi2 Ir4'
_symmetry_space_group_name_H-M 'P 1'
_symmetry_Int_Tables_number 1
_cell_length_a 9.3751
_cell_length_b 9.3751
_cell_length_c 9.3751
_cell_angle_alpha 154.36
_cell_angle_beta 154.36
_cell_angle_gamma 36.58
loop_
_symmetry_equiv_pos_as_xyz
'x,y,z'
loop_
_atom_site_label
_atom_site_type_symbol
_atom_site_fract_x
_atom_site_fract_y
_atom_site_fract_z
_atom_site_occupancy
Zn1 Zn 0.0000 0.0000 0.0000 1
Zn2 Zn 0.7500 0.2500 0.5000 1
Bi1 Bi 0.2500 0.7500 0.5000 1
Bi2 Bi 0.5000 0.5000 0.0000 1
Ir1 Ir 0.0705 0.6250 0.9455 1
Ir2 Ir 0.3750 0.3205 0.4455 1
Ir3 Ir 0.6795 0.1250 0.0545 1
Ir4 Ir 0.8750 0.9295 0.5545 1


Short version: 1 is the most stable of them.


1 | # ZnBi3Ir GGA-PBE optimized geometry
# **SG**: Pm-3m (221)
# **Crystal system**: cubic
# **V**: 157.9 Å³/f.u.
data_ZnBi3Ir
_chemical_formula_sum 'Zn1 Bi3 Ir1'
_symmetry_space_group_name_H-M 'P 1'
_symmetry_Int_Tables_number 1
_cell_length_a 5.4047
_cell_length_b 5.4047
_cell_length_c 5.4047
_cell_angle_alpha 90.00
_cell_angle_beta 90.00
_cell_angle_gamma 90.00
loop_
_symmetry_equiv_pos_as_xyz
'x,y,z'
loop_
_atom_site_label
_atom_site_type_symbol
_atom_site_fract_x
_atom_site_fract_y
_atom_site_fract_z
_atom_site_occupancy
Zn1 Zn 0.0000 0.0000 0.0000 1
Bi1 Bi 0.0000 0.5000 0.5000 1
Bi2 Bi 0.5000 0.0000 0.5000 1
Bi3 Bi 0.5000 0.5000 0.0000 1
Ir1 Ir 0.5000 0.5000 0.5000 1


2 | # ZnBi3Ir GGA-PBE optimized geometry
# **SG**: Pm-3m (221)
# **Crystal system**: cubic
# **V**: 140.6 Å³/f.u.
data_ZnBi3Ir
_chemical_formula_sum 'Zn1 Bi3 Ir1'
_symmetry_space_group_name_H-M 'P 1'
_symmetry_Int_Tables_number 1
_cell_length_a 5.2003
_cell_length_b 5.2003
_cell_length_c 5.2003
_cell_angle_alpha 90.00
_cell_angle_beta 90.00
_cell_angle_gamma 90.00
loop_
_symmetry_equiv_pos_as_xyz
'x,y,z'
loop_
_atom_site_label
_atom_site_type_symbol
_atom_site_fract_x
_atom_site_fract_y
_atom_site_fract_z
_atom_site_occupancy
Zn1 Zn 0.0000 0.0000 0.0000 1
Bi1 Bi 0.0000 0.0000 0.5000 1
Bi2 Bi 0.0000 0.5000 0.0000 1
Bi3 Bi 0.5000 0.0000 0.0000 1
Ir1 Ir 0.5000 0.5000 0.5000 1


Short version: 1 is the most stable of them.